VASP calculation (PBE) on crystalline Cr2TeRh at its relaxed geometry.

The structure in POSCAR format:
```
Cr2TeRh
1.0
8.3010 -0.0056 -0.0033
7.7818 2.8896 -0.0033
7.7818 1.3954 2.5303
Cr Rh Te
2 1 1
Cartesian
0.0388 0.0069 0.0041 Cr
11.8936 2.1328 1.2577 Cr
17.8985 3.2096 1.8928 Rh
5.9662 1.0699 0.6309 Te
```

Calculated values
The value obtained for the density of states at the Fermi level is 1.46 states/eV/atom. The value obtained for the formation energy from raw total energies is 0.61 eV/atom. Its total energy is -27.31 eV/cell.